# SrCrP2 (SCAN, PBEsol geometry)
data_SrCrP2
_cell_length_a 6.6661
_cell_length_b 6.6661
_cell_length_c 6.6661
_cell_angle_alpha 90.00
_cell_angle_beta 90.00
_cell_angle_gamma 90.00
_space_group_name_H-M_alt 'F m -3 m'
_space_group_IT_number 225
_space_group_name_Hall '-F 4 2 3'
loop_
_atom_site_label
_atom_site_type_symbol
_atom_site_fract_x
_atom_site_fract_y
_atom_site_fract_z
Sr1 Sr 0.0000 0.0000 0.0000
Cr1 Cr 0.0000 0.0000 0.5000
P1 P 0.2500 0.2500 0.2500
# D(E_F)	0.4690	states/eV per atom
# ΔE_f	-75.8	kJ/mol of formula units
# magnetic moment	2.56	μB per formula unit
# V	18.51	Å³ per atom

# TaCrP (SCAN, PBEsol geometry)
data_TaCrP
_cell_length_a 2.9888
_cell_length_b 2.9888
_cell_length_c 8.9314
_cell_angle_alpha 90.00
_cell_angle_beta 90.00
_cell_angle_gamma 90.00
_space_group_name_H-M_alt 'I 4 m m'
_space_group_IT_number 107
_space_group_name_Hall 'I 4 -2'
loop_
_atom_site_label
_atom_site_type_symbol
_atom_site_fract_x
_atom_site_fract_y
_atom_site_fract_z
Ta1 Ta 0.0000 0.0000 0.0000
Cr1 Cr 0.0000 0.0000 0.3047
P1 P 0.0000 0.0000 0.6923
# D(E_F)	0.8058	states/eV per atom
# ΔE_f	-50.3	kJ/mol of formula units
# magnetic moment	0.86	μB per formula unit
# V	13.30	Å³ per atom

# TaCr2P (SCAN, PBEsol geometry)
data_TaCr2P
_cell_length_a 2.9486
_cell_length_b 2.9486
_cell_length_c 21.6479
_cell_angle_alpha 90.00
_cell_angle_beta 90.00
_cell_angle_gamma 120.00
_space_group_name_H-M_alt 'R 3 m'
_space_group_IT_number 160
_space_group_name_Hall 'R 3 -2"'
loop_
_atom_site_label
_atom_site_type_symbol
_atom_site_fract_x
_atom_site_fract_y
_atom_site_fract_z
Ta1 Ta 0.0000 0.0000 0.0000
Cr1 Cr 0.0000 0.0000 0.2418
Cr2 Cr 0.0000 0.0000 0.4982
P1 P 0.0000 0.0000 0.7566
# D(E_F)	0.8468	states/eV per atom
# ΔE_f	87.4	kJ/mol of formula units
# magnetic moment	0.00	μB per formula unit
# V	13.58	Å³ per atom

# TaCrP (SCAN, PBEsol geometry)
data_TaCrP
_cell_length_a 6.1733
_cell_length_b 3.5027
_cell_length_c 7.2773
_cell_angle_alpha 90.00
_cell_angle_beta 90.00
_cell_angle_gamma 90.00
_space_group_name_H-M_alt 'P n m a'
_space_group_IT_number 62
loop_
_space_group_symop_operation_xyz
'x,y,z'
'-x,-y,-z'
'-x+1/2,-y,z+1/2'
'x+1/2,y,-z+1/2'
'x+1/2,-y+1/2,-z+1/2'
'-x+1/2,y+1/2,z+1/2'
'-x,y+1/2,-z'
'x,-y+1/2,z'
loop_
_atom_site_label
_atom_site_type_symbol
_atom_site_fract_x
_atom_site_fract_y
_atom_site_fract_z
Ta1 Ta 0.0303 0.2500 0.1720
Cr1 Cr 0.1446 0.2500 0.5592
P1 P 0.2289 0.7500 0.3674
# D(E_F)	0.4778	states/eV per atom
# ΔE_f	-207.7	kJ/mol of formula units
# magnetic moment	1.73	μB per formula unit
# V	13.11	Å³ per atom

# TaCr2P (SCAN, PBEsol geometry)
data_TaCr2P
_cell_length_a 3.0594
_cell_length_b 4.0050
_cell_length_c 8.2006
_cell_angle_alpha 90.00
_cell_angle_beta 90.00
_cell_angle_gamma 90.00
_space_group_name_H-M_alt 'I m m 2'
_space_group_IT_number 44
loop_
_space_group_symop_operation_xyz
'x,y,z'
'-x,-y,z'
'-x,y,z'
'x,-y,z'
'x+1/2,y+1/2,z+1/2'
'-x+1/2,-y+1/2,z+1/2'
'-x+1/2,y+1/2,z+1/2'
'x+1/2,-y+1/2,z+1/2'
loop_
_atom_site_label
_atom_site_type_symbol
_atom_site_fract_x
_atom_site_fract_y
_atom_site_fract_z
Ta1 Ta 0.0000 0.0000 0.0000
Cr1 Cr 0.0000 0.0000 0.5004
Cr2 Cr 0.0000 0.5000 0.7571
P1 P 0.0000 0.5000 0.2353
# D(E_F)	0.6870	states/eV per atom
# ΔE_f	-52.2	kJ/mol of formula units
# magnetic moment	1.15	μB per formula unit
# V	12.56	Å³ per atom

# CrTcP2 (SCAN, PBEsol geometry)
data_CrTcP2
_cell_length_a 3.0331
_cell_length_b 3.0348
_cell_length_c 11.0250
_cell_angle_alpha 90.00
_cell_angle_beta 90.00
_cell_angle_gamma 90.00
_space_group_name_H-M_alt 'I m m 2'
_space_group_IT_number 44
loop_
_space_group_symop_operation_xyz
'x,y,z'
'-x,-y,z'
'-x,y,z'
'x,-y,z'
'x+1/2,y+1/2,z+1/2'
'-x+1/2,-y+1/2,z+1/2'
'-x+1/2,y+1/2,z+1/2'
'x+1/2,-y+1/2,z+1/2'
loop_
_atom_site_label
_atom_site_type_symbol
_atom_site_fract_x
_atom_site_fract_y
_atom_site_fract_z
Cr1 Cr 0.0000 0.0000 0.0000
Tc1 Tc 0.0000 0.5000 0.2501
P1 P 0.0000 0.0000 0.4198
P2 P 0.0000 0.5000 0.6569
# D(E_F)	0.5115	states/eV per atom
# ΔE_f	-199.4	kJ/mol of formula units
# magnetic moment	0.21	μB per formula unit
# V	12.69	Å³ per atom

# CrTcP4 (SCAN, PBEsol geometry)
data_CrTcP4
_cell_length_a 6.8177
_cell_length_b 6.8177
_cell_length_c 6.8177
_cell_angle_alpha 90.00
_cell_angle_beta 90.00
_cell_angle_gamma 90.00
_space_group_name_H-M_alt 'F -4 3 m'
_space_group_IT_number 216
_space_group_name_Hall 'F -4 2 3'
loop_
_atom_site_label
_atom_site_type_symbol
_atom_site_fract_x
_atom_site_fract_y
_atom_site_fract_z
Cr1 Cr 0.0000 0.0000 0.0000
Tc1 Tc 0.2500 0.2500 0.7500
P1 P 0.1249 0.1249 0.3751
# D(E_F)	0.4382	states/eV per atom
# ΔE_f	452.3	kJ/mol of formula units
# magnetic moment	3.01	μB per formula unit
# V	13.20	Å³ per atom

# Cr2TeP (SCAN, PBEsol geometry)
data_Cr2TeP
_cell_length_a 3.0944
_cell_length_b 3.3302
_cell_length_c 5.8317
_cell_angle_alpha 90.00
_cell_angle_beta 105.10
_cell_angle_gamma 90.00
_space_group_name_H-M_alt 'P 1 2/m 1'
_space_group_IT_number 10
loop_
_space_group_symop_operation_xyz
'x,y,z'
'-x,-y,-z'
'-x,y,-z'
'x,-y,z'
loop_
_atom_site_label
_atom_site_type_symbol
_atom_site_fract_x
_atom_site_fract_y
_atom_site_fract_z
Cr1 Cr 0.1422 0.0000 0.2828
Te1 Te 0.5000 0.5000 0.0000
P1 P 0.5000 0.5000 0.5000
# D(E_F)	0.6185	states/eV per atom
# raw total energy	-20.775	eV per atom
# magnetic moment	0.00	μB per formula unit
# V	14.51	Å³ per atom

# TiCrP3 (SCAN, PBEsol geometry)
data_TiCrP3
_cell_length_a 4.5951
_cell_length_b 4.5951
_cell_length_c 4.5951
_cell_angle_alpha 90.00
_cell_angle_beta 90.00
_cell_angle_gamma 90.00
_space_group_name_H-M_alt 'P m -3 m'
_space_group_IT_number 221
_space_group_name_Hall '-P 4 2 3'
loop_
_atom_site_label
_atom_site_type_symbol
_atom_site_fract_x
_atom_site_fract_y
_atom_site_fract_z
Ti1 Ti 0.0000 0.0000 0.0000
Cr1 Cr 0.5000 0.5000 0.5000
P1 P 0.0000 0.0000 0.5000
# D(E_F)	0.4893	states/eV per atom
# ΔE_f	159.7	kJ/mol of formula units
# magnetic moment	4.18	μB per formula unit
# energy above the lowest structure with this stoichiometry	0	meV per atom
# V	19.40	Å³ per atom

# TiCrP (SCAN, PBEsol geometry)
data_TiCrP
_cell_length_a 6.3433
_cell_length_b 6.3433
_cell_length_c 3.1988
_cell_angle_alpha 90.00
_cell_angle_beta 90.00
_cell_angle_gamma 120.00
_space_group_name_H-M_alt 'P -6 2 m'
_space_group_IT_number 189
_space_group_name_Hall 'P -6 -2'
loop_
_atom_site_label
_atom_site_type_symbol
_atom_site_fract_x
_atom_site_fract_y
_atom_site_fract_z
Ti1 Ti 0.0000 0.4049 0.0000
Cr1 Cr 0.0000 0.7462 0.5000
P1 P 0.0000 0.0000 0.0000
P2 P 0.3333 0.6667 0.5000
# D(E_F)	0.5376	states/eV per atom
# ΔE_f	-292.7	kJ/mol of formula units
# magnetic moment	0.00	μB per formula unit
# V	12.39	Å³ per atom

# TiCrP3 (SCAN, PBEsol geometry)
data_TiCrP3
_cell_length_a 4.3820
_cell_length_b 4.3820
_cell_length_c 4.3820
_cell_angle_alpha 90.00
_cell_angle_beta 90.00
_cell_angle_gamma 90.00
_space_group_name_H-M_alt 'P m -3 m'
_space_group_IT_number 221
_space_group_name_Hall '-P 4 2 3'
loop_
_atom_site_label
_atom_site_type_symbol
_atom_site_fract_x
_atom_site_fract_y
_atom_site_fract_z
Ti1 Ti 0.0000 0.0000 0.0000
Cr1 Cr 0.5000 0.5000 0.5000
P1 P 0.0000 0.5000 0.5000
# D(E_F)	0.6928	states/eV per atom
# ΔE_f	191.2	kJ/mol of formula units
# magnetic moment	3.33	μB per formula unit
# energy above the lowest structure with this stoichiometry	65	meV per atom
# V	16.83	Å³ per atom

# Tl2CrP (SCAN, PBEsol geometry)
data_Tl2CrP
_cell_length_a 3.0926
_cell_length_b 3.0926
_cell_length_c 8.3886
_cell_angle_alpha 90.00
_cell_angle_beta 90.00
_cell_angle_gamma 90.00
_space_group_name_H-M_alt 'P 4 m m'
_space_group_IT_number 99
loop_
_space_group_symop_operation_xyz
'x,y,z'
'-y,x,z'
'-x,-y,z'
'y,-x,z'
'-x,y,z'
'y,x,z'
'x,-y,z'
'-y,-x,z'
loop_
_atom_site_label
_atom_site_type_symbol
_atom_site_fract_x
_atom_site_fract_y
_atom_site_fract_z
Tl1 Tl 0.0000 0.0000 0.0000
Tl2 Tl 0.5000 0.5000 0.3544
Cr1 Cr 0.0000 0.0000 0.6170
P1 P 0.5000 0.5000 0.7168
# D(E_F)	0.4594	states/eV per atom
# ΔE_f	19.3	kJ/mol of formula units
# magnetic moment	2.92	μB per formula unit
# energy above the lowest structure with this stoichiometry	0	meV per atom
# V	20.06	Å³ per atom

# Tl2CrP (SCAN, PBEsol geometry)
data_Tl2CrP
_cell_length_a 4.2454
_cell_length_b 4.2454
_cell_length_c 4.7023
_cell_angle_alpha 90.00
_cell_angle_beta 90.00
_cell_angle_gamma 90.00
_space_group_name_H-M_alt 'P 4/m m m'
_space_group_IT_number 123
_space_group_name_Hall '-P 4 2'
loop_
_atom_site_label
_atom_site_type_symbol
_atom_site_fract_x
_atom_site_fract_y
_atom_site_fract_z
Tl1 Tl 0.0000 0.5000 0.0000
Cr1 Cr 0.0000 0.0000 0.5000
P1 P 0.5000 0.5000 0.5000
# D(E_F)	0.4846	states/eV per atom
# ΔE_f	159.1	kJ/mol of formula units
# magnetic moment	4.32	μB per formula unit
# energy above the lowest structure with this stoichiometry	362	meV per atom
# V	21.19	Å³ per atom

# TlCr2P (SCAN, PBEsol geometry)
data_TlCr2P
_cell_length_a 2.9218
_cell_length_b 2.9218
_cell_length_c 6.6708
_cell_angle_alpha 90.00
_cell_angle_beta 90.00
_cell_angle_gamma 90.00
_space_group_name_H-M_alt 'P 4/m m m'
_space_group_IT_number 123
_space_group_name_Hall '-P 4 2'
loop_
_atom_site_label
_atom_site_type_symbol
_atom_site_fract_x
_atom_site_fract_y
_atom_site_fract_z
Tl1 Tl 0.0000 0.0000 0.0000
Cr1 Cr 0.5000 0.5000 0.3279
P1 P 0.0000 0.0000 0.5000
# D(E_F)	0.5602	states/eV per atom
# ΔE_f	95.4	kJ/mol of formula units
# magnetic moment	1.46	μB per formula unit
# V	14.24	Å³ per atom